(1)
Here is a relaxed KZnAs2 crystal from Alexandria via LeMat-Bulk. Energies are from GGA-PBEsol.

a = 5.356 Å, b = 5.356 Å, c = 5.356 Å
α = 131.48°, β = 131.48°, γ = 71.05°
Atoms (fractional coordinates):
K  0.000  0.000  0.000
Zn  0.750  0.250  0.500
As  0.250  0.750  0.500
As  0.500  0.500  0.000

Formation enthalpy at 0 K in meV per atom: 258


(2)
Here is a relaxed KZnAs crystal from Alexandria via LeMat-Bulk. Energies are from GGA-PBEsol.

a = 6.365 Å, b = 6.365 Å, c = 6.365 Å
α = 146.57°, β = 146.57°, γ = 48.00°
Atoms (fractional coordinates):
K  0.000  0.000  0.000
Zn  0.742  0.742  0.000
As  0.274  0.274  0.000

Formation enthalpy at 0 K in meV per atom: -75


(3)
Here is a relaxed KZnAs crystal from Alexandria via LeMat-Bulk. Energies are from GGA-PBEsol.

a = 4.186 Å, b = 4.186 Å, c = 5.131 Å
α = 90.00°, β = 90.00°, γ = 120.00°
Atoms (fractional coordinates):
K  0.000  0.000  0.000
Zn  0.333  0.667  0.500
As  0.667  0.333  0.500

Formation enthalpy at 0 K in meV per atom: -437